(P)
A geometry-optimized YZrAs2Se structure. Source: Alexandria, functional PBE-GGA.

Calculated values
M_tot: 0.0 μB/cell

Lattice parameters (Å, degrees): 5.139 5.139 5.153 90.00 90.00 90.00
Space group P4/mmm (No. 123)
Unique sites:
1 Y 0.000 0.000 0.000 (multiplicity 1)
2 Zr 0.500 0.500 0.500 (multiplicity 1)
3 As 0.000 0.500 0.500 (multiplicity 2)
4 Se 0.500 0.500 0.000 (multiplicity 1)

---

(Q)
A geometry-optimized YZrAs2Se structure. Source: Alexandria, functional PBE-GGA.

Calculated values
M_tot: 0.0 μB/cell

Lattice parameters (Å, degrees): 5.276 5.276 5.245 90.00 90.00 90.00
Space group P4/mmm (No. 123)
Unique sites:
1 Y 0.000 0.000 0.000 (multiplicity 1)
2 Zr 0.500 0.500 0.500 (multiplicity 1)
3 As 0.000 0.500 0.000 (multiplicity 2)
4 Se 0.000 0.000 0.500 (multiplicity 1)

---

It is (P) that is most stable; the runner-up trails by 762 meV/atom.

---

(P)
A geometry-optimized YZrAsSe2 structure. Source: Alexandria, functional PBE-GGA.

Calculated values
M_tot: 0.0 μB/cell

Lattice parameters (Å, degrees): 5.255 5.255 5.373 90.00 90.00 90.00
Space group P4/mmm (No. 123)
Unique sites:
1 Y 0.000 0.000 0.000 (multiplicity 1)
2 Zr 0.500 0.500 0.500 (multiplicity 1)
3 As 0.000 0.000 0.500 (multiplicity 1)
4 Se 0.000 0.500 0.000 (multiplicity 2)

---

(Q)
A geometry-optimized YZrAsSe2 structure. Source: Alexandria, functional PBE-GGA.

Calculated values
M_tot: 0.0 μB/cell

Lattice parameters (Å, degrees): 5.108 5.108 5.258 90.00 90.00 90.00
Space group P4/mmm (No. 123)
Unique sites:
1 Y 0.000 0.000 0.000 (multiplicity 1)
2 Zr 0.500 0.500 0.500 (multiplicity 1)
3 As 0.500 0.500 0.000 (multiplicity 1)
4 Se 0.000 0.500 0.500 (multiplicity 2)

---

It is (Q) that is most stable; the runner-up trails by 724 meV/atom.

---

(P)
A geometry-optimized ZnAsSe2 structure. Source: Alexandria, functional PBE-GGA.

Calculated values
M_tot: 0.0 μB/cell

Lattice parameters (Å, degrees): 3.8125 3.8125 23.2645 90.00 90.00 120.00
Space group R-3m (No. 166, hexagonal axes)
Unique sites:
1 Zn 0.0000 0.0000 0.0000 (multiplicity 3)
2 As 0.0000 0.0000 0.5000 (multiplicity 3)
3 Se 0.0000 0.0000 0.3933 (multiplicity 6)

---

(Q)
A geometry-optimized ZnAsSe2 structure. Source: Alexandria, functional PBE-GGA.

Calculated values
M_tot: 0.0 μB/cell

Lattice parameters (Å, degrees): 3.702 3.616 7.103 90.00 103.03 90.00
Space group P2/m (No. 10)
Unique sites:
1 Zn 0.000 0.000 0.000 (multiplicity 1)
2 As 0.000 0.000 0.500 (multiplicity 1)
3 Se 0.180 0.500 0.777 (multiplicity 2)

---

It is (Q) that is most stable; the runner-up trails by 43 meV/atom.

---

(P)
A geometry-optimized ZnAsSe2 structure. Source: Alexandria, functional PBE-GGA.

Calculated values
M_tot: 0.0 μB/cell

Lattice parameters (Å, degrees): 3.696 4.219 12.994 90.00 90.00 90.00
Space group Immm (No. 71)
Unique sites:
1 Zn 0.000 0.000 0.000 (multiplicity 2)
2 As 0.000 0.000 0.500 (multiplicity 2)
3 Se 0.000 0.500 0.360 (multiplicity 4)

---

(Q)
A geometry-optimized ZnAsSe2 structure. Source: Alexandria, functional PBE-GGA.

Calculated values
M_tot: 0.0 μB/cell

Lattice parameters (Å, degrees): 3.569 5.634 9.014 90.00 90.00 90.00
Space group Cmm2 (No. 35)
Unique sites:
1 Zn 0.000 0.000 0.000 (multiplicity 2)
2 As 0.000 0.500 0.226 (multiplicity 2)
3 Se 0.000 0.000 0.435 (multiplicity 2)
4 Se 0.000 0.500 0.817 (multiplicity 2)

---

It is (P) that is most stable; the runner-up trails by 208 meV/atom.